# 1
5
Lattice="6.484 0.000 0.000 0.000 6.484 0.000 0.000 0.000 7.053" Properties=species:S:1:pos:R:3 comment="CsBa2NaAu GGA-PBE relaxed" crystal_system=tetragonal relative_energy_mev_per_atom=4 sg="P4/mmm (123)" formation_energy_mev_per_atom=-186.7 magmom_total_mub_per_fu=0.0 pbc="T T T"
Cs 0.000 0.000 0.000
Ba 0.000 3.242 3.527
Ba 3.242 0.000 3.527
Na 3.242 3.242 0.000
Au 0.000 0.000 3.527

=====

# 2
5
Lattice="-2.119 2.119 10.399 2.119 -2.119 10.399 2.119 2.119 -10.399" Properties=species:S:1:pos:R:3 comment="Ba2Mg2Zn GGA-PBE relaxed" crystal_system=tetragonal relative_energy_mev_per_atom=122 sg="I4/mmm (139)" formation_energy_mev_per_atom=38.1 magmom_total_mub_per_fu=0.0 pbc="T T T"
Ba 0.000 0.000 1.965
Ba 0.000 0.000 18.833
Mg 2.119 0.000 5.199
Mg 0.000 2.119 5.199
Zn 0.000 0.000 10.399

=====

# 3
8
Lattice="-2.250 2.250 7.698 2.250 -2.250 7.698 2.250 2.250 -7.698" Properties=species:S:1:pos:R:3 comment="ScNiAs2 GGA-PBE relaxed" crystal_system=tetragonal sg="I-42d (122)" formation_energy_mev_per_atom=-404.8 magmom_total_mub_per_fu=0.0 pbc="T T T"
Sc 0.000 0.000 0.000
Sc 0.000 2.250 3.849
Ni 2.250 0.000 3.849
Ni 0.000 0.000 7.698
As 1.125 -0.754 5.774
As 1.496 1.125 1.925
As 1.125 3.005 -1.925
As 0.754 1.125 9.623

=====

# 4
4
Lattice="1.385 0.799 9.256 -1.385 0.799 9.256 0.000 -1.599 9.256" Properties=species:S:1:pos:R:3 comment="MnAgW2 GGA-PBE relaxed" crystal_system=trigonal relative_energy_mev_per_atom=181 sg="R-3m (166)" formation_energy_mev_per_atom=507.0 magmom_total_mub_per_fu=0.0 pbc="T T T"
Mn 0.000 0.000 0.000
Ag 0.000 0.000 13.884
W 0.000 0.000 7.170
W 0.000 0.000 20.599

=====

# 5
12
Lattice="3.644 -3.538 0.000 3.644 3.538 0.000 -0.858 0.000 6.828" Properties=species:S:1:pos:R:3 comment="PaCuBi2O8 GGA-PBE relaxed" crystal_system=monoclinic sg="C2/m (12)" magmom_total_mub_per_fu=0.0 pbc="T T T"
Pa 0.000 0.000 0.000
Cu -0.429 0.000 3.414
Bi 2.832 0.000 5.031
Bi 3.598 0.000 1.797
O 0.550 0.000 5.032
O 1.419 0.000 1.467
O 3.215 1.562 3.414
O 3.644 1.322 0.000
O 3.644 -1.322 0.000
O 3.215 -1.562 3.414
O 5.011 0.000 5.361
O 5.880 0.000 1.797

=====

# 6
5
Lattice="4.855 0.000 0.000 0.000 4.855 0.000 0.000 0.000 4.887" Properties=species:S:1:pos:R:3 comment="AgPdS2Cl GGA-PBE relaxed" crystal_system=tetragonal relative_energy_mev_per_atom=469 sg="P4/mmm (123)" magmom_total_mub_per_fu=1.9 pbc="T T T"
Ag 0.000 0.000 0.000
Pd 2.428 2.428 2.444
S 0.000 2.428 0.000
S 2.428 0.000 0.000
Cl 0.000 0.000 2.444

=====

# 7
4
Lattice="1.536 0.887 5.579 -1.536 0.887 5.579 0.000 -1.773 5.579" Properties=species:S:1:pos:R:3 comment="HfHO2 GGA-PBE relaxed" crystal_system=trigonal sg="R-3m (166)" magmom_total_mub_per_fu=0.6 pbc="T T T"
Hf 0.000 0.000 0.000
H 0.000 0.000 8.369
O 0.000 0.000 1.913
O 0.000 0.000 14.825

=====

# 8
12
Lattice="4.819 0.000 0.000 -0.274 6.394 0.000 -0.012 -0.019 7.615" Properties=species:S:1:pos:R:3 comment="BaTiIn2F8 GGA-PBE relaxed" crystal_system=triclinic sg="P-1 (2)" magmom_total_mub_per_fu=0.0 pbc="T T T"
Ba 0.000 0.000 0.000
Ti -0.006 -0.009 3.807
In 2.265 3.171 5.634
In 2.268 3.204 1.981
F 0.372 5.254 2.388
F 0.367 5.250 5.223
F 1.528 1.036 3.814
F 2.110 1.592 7.605
F 2.423 4.783 0.010
F 3.005 5.339 3.801
F 4.167 1.125 2.391
F 4.161 1.121 5.226

=====

It is found that the calculated total energy values, taken in the order of the records, are -2.05 -1.62 -5.76 -8.97 -6.65 -2.81 -5.91 -5.46 eV per atom.
It is found that the Fermi-level density of states values, taken in the order of the records, are 0.727 0.965 0.644 1.354 0.190 1.282 0.387 0.000 states/eV per atom.